No. 1
Here is a relaxed CrH2Ru crystal from Alexandria via LeMat-Bulk. Energies are from GGA-PBE.

```
4
Lattice="1.439 0.831 4.708 -1.439 0.831 4.708 0.000 -1.661 4.708" Properties=species:S:1:pos:R:3 pbc="T T T"
Cr 0.000 0.000 0.000
H 0.000 0.000 1.695
H 0.000 0.000 12.429
Ru 0.000 0.000 7.062
```

DOS at the Fermi energy: 0.7288 states/eV per atom
Energy relative to the lowest polymorph listed for this composition: 0.3332 eV per atom

***

No. 2
Here is a relaxed CrH2Ru crystal from Alexandria via LeMat-Bulk. Energies are from GGA-PBE.

```
4
Lattice="0.000 2.561 2.561 2.561 0.000 2.561 2.561 2.561 0.000" Properties=species:S:1:pos:R:3 pbc="T T T"
Cr 0.000 0.000 0.000
H 1.281 1.281 1.281
H 3.842 3.842 3.842
Ru 2.561 2.561 2.561
```

DOS at the Fermi energy: 0.8084 states/eV per atom
Energy relative to the lowest polymorph listed for this composition: 0.6228 eV per atom

***

No. 3
Here is a relaxed Cr2H2Ru crystal from Alexandria via LeMat-Bulk. Energies are from GGA-PBE.

```
10
Lattice="5.657 0.000 0.000 0.000 5.657 0.000 0.000 0.000 2.687" Properties=species:S:1:pos:R:3 pbc="T T T"
Cr 0.757 2.071 0.000
Cr 2.071 4.900 0.000
Cr 3.586 0.757 0.000
Cr 4.900 3.586 0.000
H 0.882 3.711 1.343
H 1.946 0.882 1.343
H 3.711 4.775 1.343
H 4.775 1.946 1.343
Ru 0.000 0.000 1.343
Ru 2.829 2.829 1.343
```

DOS at the Fermi energy: 0.7173 states/eV per atom
Energy relative to the lowest polymorph listed for this composition: 0.2246 eV per atom

***

No. 4
Here is a relaxed Cr2H2Ru crystal from Alexandria via LeMat-Bulk. Energies are from GGA-PBE.

```
5
Lattice="-1.368 1.368 5.726 1.368 -1.368 5.726 1.368 1.368 -5.726" Properties=species:S:1:pos:R:3 pbc="T T T"
Cr 0.000 0.000 1.734
Cr 0.000 0.000 9.718
H 1.368 0.000 2.863
H 0.000 1.368 2.863
Ru 0.000 0.000 5.726
```

DOS at the Fermi energy: 0.8122 states/eV per atom
Energy relative to the lowest polymorph listed for this composition: 0.0364 eV per atom

***

No. 5
Here is a relaxed Cr3HRu crystal from Alexandria via LeMat-Bulk. Energies are from GGA-PBE.

```
5
Lattice="4.703 0.000 0.000 0.000 4.703 0.000 0.000 0.000 4.703" Properties=species:S:1:pos:R:3 pbc="T T T"
Cr 0.000 0.000 2.352
Cr 0.000 2.352 0.000
Cr 2.352 0.000 0.000
H 2.352 2.352 2.352
Ru 0.000 0.000 0.000
```

DOS at the Fermi energy: 0.9851 states/eV per atom
Energy relative to the lowest polymorph listed for this composition: 1.5985 eV per atom

***

No. 6
Here is a relaxed Cr2H3Ru3 crystal from Alexandria via LeMat-Bulk. Energies are from GGA-PBE.

```
16
Lattice="4.560 -1.368 0.000 4.560 1.368 0.000 -0.295 0.000 12.000" Properties=species:S:1:pos:R:3 pbc="T T T"
Cr 0.000 0.000 0.000
Cr -0.082 0.000 4.644
Cr 2.145 0.000 5.825
Cr 4.694 0.000 9.398
H 3.043 0.000 7.338
H 3.789 0.000 5.440
H 3.749 0.000 10.964
H 5.482 0.000 11.286
H 5.680 0.000 5.271
H 8.100 0.000 3.168
Ru 2.017 0.000 10.608
Ru 4.118 0.000 2.080
Ru 4.847 0.000 7.022
Ru 6.355 0.000 3.571
Ru 6.579 0.000 1.000
Ru 7.131 0.000 8.420
```

Total energy: -6.97 eV per atom
DOS at the Fermi energy: 0.7504 states/eV per atom

***

No. 7
Here is a relaxed CrHRu2 crystal from Alexandria via LeMat-Bulk. Energies are from GGA-PBE.

```
4
Lattice="0.000 1.908 5.728 1.903 0.000 5.728 1.903 1.908 0.000" Properties=species:S:1:pos:R:3 pbc="T T T"
Cr 0.000 0.000 0.000
H 1.903 1.908 5.728
Ru 1.903 1.908 3.836
Ru 1.903 1.908 7.620
```

DOS at the Fermi energy: 0.9533 states/eV per atom
Energy relative to the lowest polymorph listed for this composition: 0.0000 eV per atom

***

No. 8
Here is a relaxed CrHRu3 crystal from Alexandria via LeMat-Bulk. Energies are from GGA-PBE.

```
10
Lattice="5.093 0.000 0.000 -2.169 4.609 0.000 -1.472 -2.297 4.750" Properties=species:S:1:pos:R:3 pbc="T T T"
Cr -0.877 0.560 1.663
Cr 2.329 1.752 3.086
H -1.867 1.188 4.688
H 3.320 1.124 0.062
Ru -1.629 -0.577 3.888
Ru 0.876 -0.557 3.117
Ru 1.622 0.591 0.863
Ru -0.170 1.721 3.887
Ru 0.576 2.869 1.633
Ru 3.081 2.890 0.862
```

DOS at the Fermi energy: 0.6457 states/eV per atom
Energy relative to the lowest polymorph listed for this composition: 0.0000 eV per atom

***

No. 9
Here is a relaxed CrH2Ru crystal from Alexandria via LeMat-Bulk. Energies are from GGA-PBE.

```
8
Lattice="-2.001 2.001 4.008 2.001 -2.001 4.008 2.001 2.001 -4.008" Properties=species:S:1:pos:R:3 pbc="T T T"
Cr 0.000 0.000 0.000
Cr 0.000 2.001 2.004
H 3.002 0.943 -1.002
H 0.943 1.001 1.002
H -1.001 1.058 3.006
H 1.058 1.001 5.010
Ru 2.001 0.000 2.004
Ru 0.000 0.000 4.008
```

DOS at the Fermi energy: 0.8978 states/eV per atom
Energy relative to the lowest polymorph listed for this composition: 0.1654 eV per atom

***

No. 10
Here is a relaxed CrHRu3 crystal from Alexandria via LeMat-Bulk. Energies are from GGA-PBE.

```
5
Lattice="4.433 0.000 0.000 0.000 4.433 0.000 0.000 0.000 4.433" Properties=species:S:1:pos:R:3 pbc="T T T"
Cr 0.000 0.000 0.000
H 2.216 2.216 2.216
Ru 0.000 0.000 2.216
Ru 0.000 2.216 0.000
Ru 2.216 0.000 0.000
```

DOS at the Fermi energy: 1.2408 states/eV per atom
Energy relative to the lowest polymorph listed for this composition: 1.9314 eV per atom

***

No. 11
Here is a relaxed CrHRu2 crystal from Alexandria via LeMat-Bulk. Energies are from GGA-PBE.

```
4
Lattice="1.361 0.786 6.551 -1.361 0.786 6.551 0.000 -1.572 6.551" Properties=species:S:1:pos:R:3 pbc="T T T"
Cr 0.000 0.000 0.000
H 0.000 0.000 3.233
Ru 0.000 0.000 11.099
Ru 0.000 0.000 15.138
```

DOS at the Fermi energy: 0.9001 states/eV per atom
Energy relative to the lowest polymorph listed for this composition: 0.0016 eV per atom

***

No. 12
Here is a relaxed Cr4H4Ru crystal from Alexandria via LeMat-Bulk. Energies are from GGA-PBE.

```
9
Lattice="-3.003 3.003 1.894 3.003 -3.003 1.894 3.003 3.003 -1.894" Properties=species:S:1:pos:R:3 pbc="T T T"
Cr 1.770 0.615 0.000
Cr 2.388 -1.234 1.894
Cr 0.615 4.237 0.000
Cr 1.234 2.388 1.894
H 3.612 1.118 0.000
H 1.118 2.395 0.000
H 1.886 0.609 1.894
H -0.609 1.886 1.894
Ru 0.000 0.000 1.894
```

Total energy: -6.77 eV per atom
DOS at the Fermi energy: 0.9234 states/eV per atom

***

No. 13
Here is a relaxed Cr2HRu2 crystal from Alexandria via LeMat-Bulk. Energies are from GGA-PBE.

```
10
Lattice="-1.839 1.839 8.352 1.839 -1.839 8.352 1.839 1.839 -8.352" Properties=species:S:1:pos:R:3 pbc="T T T"
Cr 1.839 0.919 -3.521
Cr 0.000 0.919 0.655
Cr 1.839 0.919 7.697
Cr 0.000 0.919 11.873
H 1.839 0.919 2.088
H 0.000 0.919 6.264
Ru 1.839 0.919 -1.116
Ru 0.000 0.919 3.060
Ru 1.839 0.919 5.292
Ru 0.000 0.919 9.468
```

Total energy: -7.89 eV per atom
DOS at the Fermi energy: 0.8887 states/eV per atom

***

No. 14
Here is a relaxed Cr5H4Ru2 crystal from Alexandria via LeMat-Bulk. Energies are from GGA-PBE.

```
11
Lattice="4.798 -1.411 0.000 4.798 1.411 0.000 -0.940 0.000 7.061" Properties=species:S:1:pos:R:3 pbc="T T T"
Cr 0.000 0.000 0.000
Cr 1.851 0.000 6.302
Cr 3.539 0.000 2.073
Cr 5.116 0.000 4.988
Cr 6.805 0.000 0.759
H 1.459 0.000 4.514
H 3.604 0.000 5.934
H 5.052 0.000 1.127
H 7.197 0.000 2.547
Ru 0.816 0.000 2.760
Ru 7.840 0.000 4.301
```

Total energy: -7.19 eV per atom
DOS at the Fermi energy: 0.7870 states/eV per atom

***

No. 15
Here is a relaxed CrHRu2 crystal from Alexandria via LeMat-Bulk. Energies are from GGA-PBE.

```
4
Lattice="2.758 0.000 0.000 0.000 2.758 0.000 0.000 0.000 5.723" Properties=species:S:1:pos:R:3 pbc="T T T"
Cr 0.000 0.000 0.000
H 0.000 0.000 2.862
Ru 1.379 1.379 1.622
Ru 1.379 1.379 4.101
```

DOS at the Fermi energy: 0.7549 states/eV per atom
Energy relative to the lowest polymorph listed for this composition: 0.2303 eV per atom

***

No. 16
Here is a relaxed Cr3H3Ru crystal from Alexandria via LeMat-Bulk. Energies are from GGA-PBE.

```
7
Lattice="3.813 0.000 0.000 0.000 3.813 0.000 0.000 0.000 3.813" Properties=species:S:1:pos:R:3 pbc="T T T"
Cr 0.000 0.000 1.907
Cr 0.000 1.907 0.000
Cr 1.907 0.000 0.000
H 0.000 1.907 1.907
H 1.907 0.000 1.907
H 1.907 1.907 0.000
Ru 1.907 1.907 1.907
```

Total energy: -6.82 eV per atom
DOS at the Fermi energy: 0.8430 states/eV per atom

***

No. 17
Here is a relaxed Cr2HRuSe crystal from Alexandria via LeMat-Bulk. Energies are from GGA-PBE.

```
5
Lattice="3.680 0.000 0.000 0.000 3.680 0.000 0.000 0.000 4.327" Properties=species:S:1:pos:R:3 pbc="T T T"
Cr 0.000 1.840 0.000
Cr 1.840 0.000 0.000
H 0.000 0.000 0.000
Ru 1.840 1.840 2.164
Se 0.000 0.000 2.164
```

Total energy: -6.62 eV per atom
DOS at the Fermi energy: 0.8594 states/eV per atom

***

No. 18
Here is a relaxed Cr2SiHRu crystal from Alexandria via LeMat-Bulk. Energies are from GGA-PBE.

```
5
Lattice="3.670 0.000 0.000 0.000 3.670 0.000 0.000 0.000 3.917" Properties=species:S:1:pos:R:3 pbc="T T T"
Cr 0.000 1.835 0.000
Cr 1.835 0.000 0.000
Si 0.000 0.000 1.959
H 1.835 1.835 0.000
Ru 1.835 1.835 1.959
```

Total energy: -7.51 eV per atom
DOS at the Fermi energy: 1.2001 states/eV per atom

***

No. 19
Here is a relaxed CrSnHRu2 crystal from Alexandria via LeMat-Bulk. Energies are from GGA-PBE.

```
5
Lattice="4.120 0.000 0.000 0.000 4.120 0.000 0.000 0.000 3.736" Properties=species:S:1:pos:R:3 pbc="T T T"
Cr 0.000 0.000 0.000
Sn 2.060 2.060 0.000
H 0.000 0.000 1.868
Ru 0.000 2.060 1.868
Ru 2.060 0.000 1.868
```

Total energy: -7.09 eV per atom
DOS at the Fermi energy: 0.9171 states/eV per atom

***

No. 20
Here is a relaxed CrSn2HRu crystal from Alexandria via LeMat-Bulk. Energies are from GGA-PBE.

```
5
Lattice="5.127 0.000 0.000 0.000 5.127 0.000 0.000 0.000 3.187" Properties=species:S:1:pos:R:3 pbc="T T T"
Cr 0.000 0.000 0.000
Sn 0.000 2.563 0.000
Sn 2.563 0.000 0.000
H 0.000 0.000 1.593
Ru 2.563 2.563 1.593
```

Total energy: -5.48 eV per atom
DOS at the Fermi energy: 0.7059 states/eV per atom

***

No. 21
Here is a relaxed SrCrH2Ru crystal from Alexandria via LeMat-Bulk. Energies are from GGA-PBE.

```
5
Lattice="3.700 0.000 0.000 0.000 3.700 0.000 0.000 0.000 6.213" Properties=species:S:1:pos:R:3 pbc="T T T"
Sr 0.000 0.000 0.000
Cr 0.000 0.000 3.107
H 0.000 1.850 0.000
H 1.850 0.000 0.000
Ru 1.850 1.850 3.107
```

Total energy: -4.00 eV per atom
DOS at the Fermi energy: 1.0820 states/eV per atom

***

No. 22
Here is a relaxed Ta2CrHRu crystal from Alexandria via LeMat-Bulk. Energies are from GGA-PBE.

```
5
Lattice="4.355 0.000 0.000 0.000 4.355 0.000 0.000 0.000 3.439" Properties=species:S:1:pos:R:3 pbc="T T T"
Ta 0.000 2.178 0.000
Ta 2.178 0.000 0.000
Cr 0.000 0.000 1.720
H 2.178 2.178 0.000
Ru 2.178 2.178 1.720
```

DOS at the Fermi energy: 0.7718 states/eV per atom
Energy relative to the lowest polymorph listed for this composition: 0.0837 eV per atom

***

No. 23
Here is a relaxed Ta2CrHRu crystal from Alexandria via LeMat-Bulk. Energies are from GGA-PBE.

```
5
Lattice="4.388 0.000 0.000 0.000 4.388 0.000 0.000 0.000 3.331" Properties=species:S:1:pos:R:3 pbc="T T T"
Ta 0.000 2.194 0.000
Ta 2.194 0.000 0.000
Cr 0.000 0.000 1.666
H 0.000 0.000 0.000
Ru 2.194 2.194 1.666
```

DOS at the Fermi energy: 0.8642 states/eV per atom
Energy relative to the lowest polymorph listed for this composition: 0.0000 eV per atom

***

No. 24
Here is a relaxed TaCrHRu2 crystal from Alexandria via LeMat-Bulk. Energies are from GGA-PBE.

```
5
Lattice="3.948 0.000 0.000 0.000 3.948 0.000 0.000 0.000 3.831" Properties=species:S:1:pos:R:3 pbc="T T T"
Ta 0.000 0.000 0.000
Cr 1.974 1.974 0.000
H 1.974 1.974 1.915
Ru 0.000 1.974 1.915
Ru 1.974 0.000 1.915
```

DOS at the Fermi energy: 1.3136 states/eV per atom
Energy relative to the lowest polymorph listed for this composition: 0.0000 eV per atom

***

No. 25
Here is a relaxed TaCrHRu2 crystal from Alexandria via LeMat-Bulk. Energies are from GGA-PBE.

```
5
Lattice="3.949 0.000 0.000 0.000 3.949 0.000 0.000 0.000 3.931" Properties=species:S:1:pos:R:3 pbc="T T T"
Ta 0.000 0.000 0.000
Cr 1.974 1.974 0.000
H 0.000 0.000 1.965
Ru 0.000 1.974 1.965
Ru 1.974 0.000 1.965
```

DOS at the Fermi energy: 1.0245 states/eV per atom
Energy relative to the lowest polymorph listed for this composition: 0.0638 eV per atom

***

No. 26
Here is a relaxed Ta2CrHRu6 crystal from Alexandria via LeMat-Bulk. Energies are from GGA-PBE.

```
10
Lattice="4.631 -2.671 0.000 4.631 2.671 0.000 -3.078 0.000 5.731" Properties=species:S:1:pos:R:3 pbc="T T T"
Ta 1.538 0.000 0.726
Ta 4.647 0.000 5.005
Cr 4.631 0.000 0.000
H -1.539 0.000 2.865
Ru 0.036 0.000 3.939
Ru 2.336 1.329 3.970
Ru 3.848 1.329 1.761
Ru 2.336 -1.329 3.970
Ru 3.848 -1.329 1.761
Ru 6.149 0.000 1.791
```

Total energy: -9.08 eV per atom
DOS at the Fermi energy: 1.1859 states/eV per atom

***

No. 27
Here is a relaxed TaCrHRu2 crystal from Alexandria via LeMat-Bulk. Energies are from GGA-PBE.

```
5
Lattice="4.794 0.000 0.000 0.000 4.794 0.000 0.000 0.000 3.185" Properties=species:S:1:pos:R:3 pbc="T T T"
Ta 0.000 0.000 0.000
Cr 2.397 2.397 1.593
H 0.000 0.000 1.593
Ru 0.000 2.397 0.000
Ru 2.397 0.000 0.000
```

DOS at the Fermi energy: 1.4919 states/eV per atom
Energy relative to the lowest polymorph listed for this composition: 1.1660 eV per atom